1.
# SeNCl3 GGA-PBE optimized geometry
# DFT total energy = -12.70 eV for the cell shown
# Formation energy (no corrections) = 0.93 eV per atom
# Total magnetization = 0.594 μB per atom
data_SeNCl3
_space_group_name_H-M_alt 'P m -3 m'
_space_group_IT_number 221
_space_group_name_Hall '-P 4 2 3'
_cell_length_a 5.0047
_cell_length_b 5.0047
_cell_length_c 5.0047
_cell_angle_alpha 90.00
_cell_angle_beta 90.00
_cell_angle_gamma 90.00
loop_
_atom_site_label
_atom_site_fract_x
_atom_site_fract_y
_atom_site_fract_z
_atom_site_occupancy
Se1 0.0000 0.0000 0.0000 1
N1 0.5000 0.5000 0.5000 1
Cl1 0.0000 0.0000 0.5000 1

---

2.
# SeNCl2 GGA-PBE optimized geometry
# DFT total energy = -41.66 eV for the cell shown
# Formation energy (no corrections) = 1.27 eV per atom
# Total magnetization = 0.428 μB per atom
data_SeNCl2
_space_group_name_H-M_alt 'I 41/a m d'
_space_group_IT_number 141
_cell_length_a 6.3964
_cell_length_b 6.3964
_cell_length_c 9.0662
_cell_angle_alpha 90.00
_cell_angle_beta 90.00
_cell_angle_gamma 90.00
loop_
_space_group_symop_operation_xyz
'x,y,z'
'-x,-y,-z'
'-y+1/4,x+3/4,z+1/4'
'y+1/4,-x+3/4,-z+1/4'
'-x+1/2,-y,z+1/2'
'x+1/2,y,-z+1/2'
'y+1/4,-x+1/4,z+3/4'
'-y+1/4,x+1/4,-z+3/4'
'x,-y,-z'
'-x,y,z'
'-y+1/4,-x+1/4,-z+3/4'
'y+1/4,x+1/4,z+3/4'
'-x+1/2,y,-z+1/2'
'x+1/2,-y,z+1/2'
'y+1/4,x+3/4,-z+1/4'
'-y+1/4,-x+3/4,z+1/4'
'x+1/2,y+1/2,z+1/2'
'-x+1/2,-y+1/2,-z+1/2'
'-y+3/4,x+1/4,z+3/4'
'y+3/4,-x+1/4,-z+3/4'
'-x,-y+1/2,z'
'x,y+1/2,-z'
'y+3/4,-x+3/4,z+1/4'
'-y+3/4,x+3/4,-z+1/4'
'x+1/2,-y+1/2,-z+1/2'
'-x+1/2,y+1/2,z+1/2'
'-y+3/4,-x+3/4,-z+1/4'
'y+3/4,x+3/4,z+1/4'
'-x,y+1/2,-z'
'x,-y+1/2,z'
'y+3/4,x+1/4,-z+3/4'
'-y+3/4,-x+1/4,z+3/4'
loop_
_atom_site_label
_atom_site_fract_x
_atom_site_fract_y
_atom_site_fract_z
_atom_site_occupancy
Se1 0.0000 0.2500 0.3750 1
N1 0.0000 0.2500 0.8750 1
Cl1 0.0000 0.0000 0.0000 1

---

3.
# SeNCl3 GGA-PBE optimized geometry
# DFT total energy = -11.13 eV for the cell shown
# Formation energy (no corrections) = 1.24 eV per atom
# Total magnetization = 0.000 μB per atom
data_SeNCl3
_space_group_name_H-M_alt 'P m -3 m'
_space_group_IT_number 221
_space_group_name_Hall '-P 4 2 3'
_cell_length_a 4.4624
_cell_length_b 4.4624
_cell_length_c 4.4624
_cell_angle_alpha 90.00
_cell_angle_beta 90.00
_cell_angle_gamma 90.00
loop_
_atom_site_label
_atom_site_fract_x
_atom_site_fract_y
_atom_site_fract_z
_atom_site_occupancy
Se1 0.0000 0.0000 0.0000 1
N1 0.5000 0.5000 0.5000 1
Cl1 0.0000 0.5000 0.5000 1

---

4.
# SeNCl2 GGA-PBE optimized geometry
# DFT total energy = -35.17 eV for the cell shown
# Formation energy (no corrections) = 1.68 eV per atom
# Total magnetization = 0.315 μB per atom
data_SeNCl2
_space_group_name_H-M_alt 'F m -3 m'
_space_group_IT_number 225
_space_group_name_Hall '-F 4 2 3'
_cell_length_a 6.6854
_cell_length_b 6.6854
_cell_length_c 6.6854
_cell_angle_alpha 90.00
_cell_angle_beta 90.00
_cell_angle_gamma 90.00
loop_
_atom_site_label
_atom_site_fract_x
_atom_site_fract_y
_atom_site_fract_z
_atom_site_occupancy
Se1 0.0000 0.0000 0.0000 1
N1 0.0000 0.0000 0.5000 1
Cl1 0.2500 0.2500 0.2500 1